[1]
The following is a PBE calculation of a relaxed CuPtPb crystal, from Alexandria.

* theoretical density: 13.13 g/cm³
* volume: 58.9 Å³ per cell
* energy of formation: 0.071 eV/atom
* energy relative to the lowest polymorph listed for this composition: 63 meV/atom

Unit cell a=4.3743 b=4.3743 c=3.5544 alpha=90.00 beta=90.00 gamma=120.00
Closest atoms and distances in Å follow each position.
Space group P3m1 (No. 156)
One atom of each set of equivalent atoms:
Cu: 0.0000 0.0000 0.0000  3 Pt 2.53
Pt: 0.6667 0.3333 0.9827  3 Cu 2.53
Pb: 0.3333 0.6667 0.4895  6 Cu 3.07-3.11, 6 Pt 3.07-3.10

[2]
The following is a PBE calculation of a relaxed CuPtPb crystal, from Alexandria.

* theoretical density: 14.03 g/cm³
* volume: 110.2 Å³ per cell
* energy of formation: 0.041 eV/atom
* energy relative to the lowest polymorph listed for this composition: 34 meV/atom

Unit cell a=3.4335 b=3.4335 c=9.3507 alpha=90.00 beta=90.00 gamma=90.00
Closest atoms and distances in Å follow each position.
Space group P4/mmm (No. 123)
One atom of each set of equivalent atoms:
Cu: 0.0000 0.0000 0.1294  1 Cu 2.42
Pt: 0.0000 0.0000 0.5000  8 Pb 2.99
Pt: 0.5000 0.5000 0.0000  8 Cu 2.71, 2 Pb 2.93
Pb: 0.5000 0.5000 0.3130  5 Pt 2.93-2.99, 4 Cu 2.97

[3]
The following is a PBE calculation of a relaxed CuPtPb2 crystal, from Alexandria.

* theoretical density: 13.07 g/cm³
* volume: 342.1 Å³ per cell
* energy of formation: 0.119 eV/atom
* energy relative to the lowest polymorph listed for this composition: 161 meV/atom

Unit cell a=6.9938 b=6.9938 c=6.9938 alpha=90.00 beta=90.00 gamma=90.00
Closest atoms and distances in Å follow each position.
Space group Fm-3m (No. 225)
One atom of each set of equivalent atoms:
Cu: 0.0000 0.0000 0.0000  8 Pb 3.03
Pt: 0.0000 0.0000 0.5000  8 Pb 3.03
Pb: 0.2500 0.2500 0.2500  4 Cu 3.03, 4 Pt 3.03

[4]
The following is a PBE calculation of a relaxed CuPtPb crystal, from Alexandria.

* theoretical density: 12.41 g/cm³
* volume: 249.4 Å³ per cell
* energy of formation: 0.008 eV/atom
* energy relative to the lowest polymorph listed for this composition: 0 meV/atom

Unit cell a=6.2945 b=6.2945 c=6.2945 alpha=90.00 beta=90.00 gamma=90.00
Closest atoms and distances in Å follow each position.
Space group F-43m (No. 216)
One atom of each set of equivalent atoms:
Cu: 0.0000 0.0000 0.0000  4 Pt 2.73
Pt: 0.2500 0.2500 0.7500  4 Pb 2.73, 4 Cu 2.73
Pb: 0.0000 0.0000 0.5000  4 Pt 2.73

[5]
The following is a PBE calculation of a relaxed Cu2Pt2Pb crystal, from Alexandria.

* theoretical density: 13.53 g/cm³
* volume: 177.8 Å³ per cell
* energy of formation: 0.028 eV/atom
* energy relative to the lowest polymorph listed for this composition: 52 meV/atom

Unit cell a=3.8023 b=3.8023 c=12.3000 alpha=90.00 beta=90.00 gamma=90.00
Closest atoms and distances in Å follow each position.
Space group I4/mmm (No. 139)
One atom of each set of equivalent atoms:
Cu: 0.0000 0.5000 0.2500  4 Pt 2.56, 4 Cu 2.69
Pt: 0.0000 0.0000 0.1102  4 Cu 2.56, 1 Pt 2.71
Pb: 0.0000 0.0000 0.5000  8 Pt 3.01

[6]
The following is a PBE calculation of a relaxed CuPtPb2 crystal, from Alexandria.

* theoretical density: 12.95 g/cm³
* volume: 345.3 Å³ per cell
* energy of formation: 0.307 eV/atom
* energy relative to the lowest polymorph listed for this composition: 349 meV/atom

Unit cell a=7.0156 b=7.0156 c=7.0156 alpha=90.00 beta=90.00 gamma=90.00
Closest atoms and distances in Å follow each position.
Space group F-43m (No. 216)
One atom of each set of equivalent atoms:
Cu: 0.0000 0.0000 0.0000  4 Pb 3.04, 4 Pt 3.04
Pt: 0.2500 0.2500 0.7500  4 Pb 3.04, 4 Cu 3.04
Pb: 0.0000 0.0000 0.5000  4 Pt 3.04, 4 Pb 3.04
Pb: 0.2500 0.2500 0.2500  4 Pb 3.04, 4 Cu 3.04

[7]
The following is a PBE calculation of a relaxed CuPt4Pb crystal, from Alexandria.

* theoretical density: 15.92 g/cm³
* volume: 438.5 Å³ per cell
* energy of formation: 0.027 eV/atom

Unit cell a=7.5970 b=7.5970 c=7.5970 alpha=90.00 beta=90.00 gamma=90.00
Closest atoms and distances in Å follow each position.
Space group F-43m (No. 216)
One atom of each set of equivalent atoms:
Cu: 0.0000 0.0000 0.0000  12 Pt 3.15, 4 Pb 3.29
Pt: 0.1254 0.1254 0.6254  6 Pt 2.68-2.69
Pb: 0.2500 0.2500 0.2500  12 Pt 3.15, 4 Cu 3.29

[8]
The following is a PBE calculation of a relaxed CuPtPb2 crystal, from Alexandria.

* theoretical density: 12.96 g/cm³
* volume: 86.2 Å³ per cell
* energy of formation: -0.042 eV/atom
* energy relative to the lowest polymorph listed for this composition: 0 meV/atom

Unit cell a=3.8405 b=4.2114 c=5.6502 alpha=90.00 beta=109.36 gamma=90.00
Closest atoms and distances in Å follow each position.
Space group Pm (No. 6)
One atom of each set of equivalent atoms:
Cu: 0.0000 0.0000 0.0000  2 Pt 2.65, 5 Pb 2.91-2.93
Pt: 0.8516 0.5000 0.6996  2 Cu 2.65, 2 Pb 2.96
Pb: 0.2751 0.0000 0.5462  3 Cu 2.91-3.10, 4 Pt 2.96-2.97
Pb: 0.5623 0.5000 0.1272  4 Cu 2.93, 3 Pt 2.98-3.05

[9]
The following is a PBE calculation of a relaxed CuPtPb2 crystal, from Alexandria.

* theoretical density: 13.00 g/cm³
* volume: 171.9 Å³ per cell
* energy of formation: 0.133 eV/atom
* energy relative to the lowest polymorph listed for this composition: 175 meV/atom

Unit cell a=6.8634 b=6.8502 c=3.6570 alpha=90.00 beta=91.32 gamma=90.00
Closest atoms and distances in Å follow each position.
Space group C2/m (No. 12)
One atom of each set of equivalent atoms:
Cu: 0.0000 0.0000 0.0000  8 Pb 3.01-3.06
Pt: 0.0000 0.5000 0.0000  8 Pb 3.01-3.06
Pb: 0.2500 0.2500 0.5000  4 Cu 3.01-3.06, 4 Pt 3.01-3.06

[10]
The following is a PBE calculation of a relaxed CuPt2Pb2 crystal, from Alexandria.

* theoretical density: 13.87 g/cm³
* volume: 207.9 Å³ per cell
* energy of formation: 0.013 eV/atom

Unit cell a=7.0299 b=7.0299 c=4.2062 alpha=90.00 beta=90.00 gamma=90.00
Closest atoms and distances in Å follow each position.
Space group P4/mbm (No. 127)
One atom of each set of equivalent atoms:
Cu: 0.0000 0.0000 0.0000  4 Pt 2.70
Pt: 0.1433 0.3567 0.0000  2 Cu 2.70, 2 Pb 2.82, 1 Pt 2.85
Pb: 0.1679 0.6679 0.5000  6 Pt 2.82-3.04

[11]
The following is a PBE calculation of a relaxed Cu2Pt2Pb crystal, from Alexandria.

* theoretical density: 14.56 g/cm³
* volume: 165.2 Å³ per cell
* energy of formation: 0.001 eV/atom
* energy relative to the lowest polymorph listed for this composition: 25 meV/atom

Unit cell a=7.4921 b=7.4921 c=2.9437 alpha=90.00 beta=90.00 gamma=90.00
Closest atoms and distances in Å follow each position.
Space group P4/mbm (No. 127)
One atom of each set of equivalent atoms:
Cu: 0.1217 0.3783 0.0000  1 Cu 2.58, 6 Pt 2.65-2.66
Pt: 0.1705 0.6705 0.5000  6 Cu 2.65-2.66, 2 Pt 2.94
Pb: 0.0000 0.0000 0.0000  2 Pb 2.94, 4 Cu 2.98, 8 Pt 3.15

[12]
The following is a PBE calculation of a relaxed CuPtPb2 crystal, from Alexandria.

* theoretical density: 12.98 g/cm³
* volume: 86.1 Å³ per cell
* energy of formation: 0.120 eV/atom
* energy relative to the lowest polymorph listed for this composition: 162 meV/atom

Unit cell a=3.4828 b=3.4893 c=7.0898 alpha=90.00 beta=92.41 gamma=90.00
Closest atoms and distances in Å follow each position.
Space group P2/m (No. 10)
One atom of each set of equivalent atoms:
Cu: 0.0000 0.0000 0.0000  8 Pb 2.99-3.12
Pt: 0.0000 0.0000 0.5000  8 Pb 2.99-3.03
Pb: 0.4889 0.5000 0.2554  4 Pt 2.99-3.03, 4 Cu 2.99-3.12

[13]
The following is a PBE calculation of a relaxed CuPtPb4 crystal, from Alexandria.

* theoretical density: 10.53 g/cm³
* volume: 686.1 Å³ per cell
* energy of formation: 0.725 eV/atom
* energy relative to the lowest polymorph listed for this composition: 709 meV/atom

Unit cell a=8.8198 b=8.8198 c=8.8198 alpha=90.00 beta=90.00 gamma=90.00
Closest atoms and distances in Å follow each position.
Space group F-43m (No. 216)
One atom of each set of equivalent atoms:
Cu: 0.0000 0.0000 0.0000  12 Pb 3.66, 4 Pt 3.82
Pt: 0.2500 0.2500 0.2500  12 Pb 3.66, 4 Cu 3.82
Pb: 0.1247 0.1247 0.6247  6 Pb 3.11-3.13

[14]
The following is a PBE calculation of a relaxed CuPtPb2 crystal, from Alexandria.

* theoretical density: 11.68 g/cm³
* volume: 191.4 Å³ per cell
* energy of formation: 0.050 eV/atom
* energy relative to the lowest polymorph listed for this composition: 92 meV/atom

Unit cell a=3.5770 b=4.0080 c=13.3475 alpha=90.00 beta=90.00 gamma=90.00
Closest atoms and distances in Å follow each position.
Space group Imm2 (No. 44)
One atom of each set of equivalent atoms:
Cu: 0.0000 0.0000 0.0000  2 Pt 2.56, 4 Pb 2.83
Pt: 0.0000 0.5000 0.8804  2 Cu 2.56
Pb: 0.0000 0.0000 0.5663  4 Cu 2.83, 2 Pt 3.06
Pb: 0.0000 0.5000 0.2970  4 Pt 2.91, 2 Cu 3.25

[15]
The following is a PBE calculation of a relaxed CuPtPb2 crystal, from Alexandria.

* theoretical density: 11.63 g/cm³
* volume: 192.3 Å³ per cell
* energy of formation: -0.013 eV/atom
* energy relative to the lowest polymorph listed for this composition: 29 meV/atom

Unit cell a=7.9941 b=3.8844 c=6.4446 alpha=90.00 beta=106.10 gamma=90.00
Closest atoms and distances in Å follow each position.
Space group Cm (No. 8)
One atom of each set of equivalent atoms:
Cu: 0.0000 0.0000 0.0000  3 Pt 2.55-2.57, 3 Pb 2.84-2.85
Pt: 0.2133 0.5000 0.1062  3 Cu 2.55-2.57
Pb: 0.2565 0.0000 0.7710  3 Cu 2.84-2.85, 2 Pt 3.00
Pb: 0.4558 0.0000 0.3499  3 Pt 2.88-2.91, 2 Cu 3.07

[16]
The following is a PBE calculation of a relaxed CuPtPb2 crystal, from Alexandria.

* theoretical density: 11.93 g/cm³
* volume: 374.7 Å³ per cell
* energy of formation: 0.245 eV/atom
* energy relative to the lowest polymorph listed for this composition: 287 meV/atom

Unit cell a=7.4691 b=7.4691 c=6.7161 alpha=90.00 beta=90.00 gamma=90.00
Closest atoms and distances in Å follow each position.
Space group I-42d (No. 122)
One atom of each set of equivalent atoms:
Cu: 0.0000 0.0000 0.0000  4 Pb 2.76
Pt: 0.0000 0.0000 0.5000  4 Pb 2.79
Pb: 0.2470 0.2500 0.1250  2 Cu 2.76, 2 Pt 2.79

[17]
The following is a PBE calculation of a relaxed CuPtPb crystal, from Alexandria.

* theoretical density: 14.15 g/cm³
* volume: 109.4 Å³ per cell
* energy of formation: 0.020 eV/atom
* energy relative to the lowest polymorph listed for this composition: 12 meV/atom

Unit cell a=3.5062 b=3.5062 c=8.8964 alpha=90.00 beta=90.00 gamma=90.00
Closest atoms and distances in Å follow each position.
Space group I4mm (No. 107)
One atom of each set of equivalent atoms:
Cu: 0.0000 0.0000 0.0000  4 Pt 2.74, 5 Pb 2.77-3.00
Pt: 0.0000 0.0000 0.6299  4 Cu 2.74, 5 Pb 2.84-2.96
Pb: 0.0000 0.0000 0.3110  5 Cu 2.77-3.00, 5 Pt 2.84-2.96

[18]
The following is a PBE calculation of a relaxed CuPtPb2 crystal, from Alexandria.

* theoretical density: 12.09 g/cm³
* volume: 184.9 Å³ per cell
* energy of formation: 0.122 eV/atom
* energy relative to the lowest polymorph listed for this composition: 164 meV/atom

Unit cell a=6.6855 b=4.1109 c=7.2028 alpha=90.00 beta=110.89 gamma=90.00
Closest atoms and distances in Å follow each position.
Space group C2/m (No. 12)
One atom of each set of equivalent atoms:
Cu: 0.0000 0.0000 0.0000  6 Pb 2.85-2.87
Pt: 0.0000 0.5000 0.5000  6 Pb 2.85
Pb: 0.2494 0.5000 0.2516  3 Pt 2.85, 3 Cu 2.85-2.87

[19]
The following is a PBE calculation of a relaxed CuRe2PtPb crystal, from Alexandria.

* theoretical density: 11.88 g/cm³
* volume: 117.2 Å³ per cell
* energy of formation: 2.720 eV/atom

Unit cell a=5.0385 b=5.0385 c=4.6157 alpha=90.00 beta=90.00 gamma=90.00
Closest atoms and distances in Å follow each position.
Space group P4/mmm (No. 123)
One atom of each set of equivalent atoms:
Cu: 0.0000 0.0000 0.0000  2 Pb 2.31
Re: 0.0000 0.5000 0.5000  2 Pb 2.52
Pt: 0.5000 0.5000 0.0000  8 Re 3.42, 4 Cu 3.56
Pb: 0.0000 0.0000 0.5000  2 Cu 2.31, 4 Re 2.52

[20]
The following is a PBE calculation of a relaxed CuPtPbSe2 crystal, from Alexandria.

* theoretical density: 7.57 g/cm³
* volume: 136.9 Å³ per cell
* formation energy (no corrections): 1.2612 eV per atom

Unit cell a=5.3827 b=5.3827 c=4.7244 alpha=90.00 beta=90.00 gamma=90.00
Closest atoms and distances in Å follow each position.
Space group P4/mmm (No. 123)
One atom of each set of equivalent atoms:
Cu: 0.0000 0.0000 0.0000  2 Pb 2.36
Pt: 0.5000 0.5000 0.0000  8 Se 3.58, 4 Cu 3.81
Pb: 0.0000 0.0000 0.5000  2 Cu 2.36
Se: 0.0000 0.5000 0.5000  2 Pb 2.69